Entry 1:
Computed, not measured: crystalline CsNi3F at its relaxed geometry at the GGA+U level of DFT.

The structure belongs to space group Pm-3m (No. 221); the cell edges are 4.648, 4.648 and 4.648 Å and the angles 90.00°, 90.00° and 90.00°. The asymmetric unit holds Cs at (0.000, 0.000, 0.000), Ni at (0.000, 0.500, 0.500) and F at (0.500, 0.500, 0.500).

As for the total energy: -1.50 eV per atom.

=====

Entry 2:
Computed, not measured: crystalline Cs2NiF6 at its relaxed geometry at the GGA+U level of DFT.

The structure belongs to space group P6_3mc (No. 186); the cell edges are 6.2669, 6.2669 and 10.3067 Å and the angles 90.00°, 90.00° and 120.00°. The asymmetric unit holds Cs at (0.0000, 0.0000, 0.0000), Cs at (0.3333, 0.6667, 0.2734), Ni at (0.3333, 0.6667, 0.6532), F at (0.0625, 0.5313, 0.5511) and F at (0.1954, 0.3909, 0.7522).

As for the total energy: -3.89 eV per atom.

=====

Entry 3:
Computed, not measured: crystalline CsNiF3 at its relaxed geometry at the GGA+U level of DFT.

The structure belongs to space group R-3m (No. 166, hexagonal axes); the cell edges are 6.2224, 6.2224 and 22.5760 Å and the angles 90.00°, 90.00° and 120.00°. The asymmetric unit holds Cs at (0.0000, 0.0000, 0.0000), Cs at (0.0000, 0.0000, 0.2145), Ni at (0.0000, 0.0000, 0.3794), Ni at (0.0000, 0.0000, 0.5000), F at (0.0000, 0.5000, 0.0000) and F at (0.0494, 0.5247, 0.2259).

As for the total energy: -4.25 eV per atom.

=====

Entry 4:
Computed, not measured: crystalline CsNi2F7 at its relaxed geometry at the GGA+U level of DFT.

The structure belongs to space group Cmmm (No. 65); the cell edges are 6.266, 12.778 and 3.750 Å and the angles 90.00°, 90.00° and 90.00°. The asymmetric unit holds Cs at (0.000, 0.000, 0.000), Ni at (0.000, 0.346, 0.500), F at (0.000, 0.321, 0.000), F at (0.000, 0.500, 0.500) and F at (0.214, 0.151, 0.500).

As for the total energy: -3.74 eV per atom.